Record 1
! BaMgTl2Pb | Alexandria via LeMat-Bulk | PBE | relaxed; values from VASP
! excess energy over the best structure of this formula in the dataset = 0.000 eV/atom
! space-group type = I-4m2 (119)
! N(E_F) = 3.4 states/eV per cell
&SYSTEM
  ibrav = 0, nat = 5, ntyp = 4
/
ATOMIC_SPECIES
Ba 137.33 Ba.upf
Mg 24.30 Mg.upf
Tl 204.38 Tl.upf
Pb 207.20 Pb.upf
ATOMIC_POSITIONS crystal
Ba 0.000 0.000 0.000
Mg 0.250 0.750 0.500
Tl 0.390 0.390 0.000
Tl 0.610 0.610 0.000
Pb 0.750 0.250 0.500
CELL_PARAMETERS angstrom
-2.439 2.439 6.978
2.439 -2.439 6.978
2.439 2.439 -6.978

=====

Record 2
! HfBe2Pd | Alexandria via LeMat-Bulk | PBE | relaxed; values from VASP
! excess energy over the best structure of this formula in the dataset = 0.019 eV/atom
! space-group type = P4/mmm (123)
! N(E_F) = 2.4 states/eV per cell
&SYSTEM
  ibrav = 0, nat = 4, ntyp = 3
/
ATOMIC_SPECIES
Hf 178.49 Hf.upf
Be 9.01 Be.upf
Pd 106.42 Pd.upf
ATOMIC_POSITIONS crystal
Hf 0.000 0.000 0.000
Be 0.500 0.500 0.300
Be 0.500 0.500 0.700
Pd 0.000 0.000 0.500
CELL_PARAMETERS angstrom
2.951 0.000 0.000
0.000 2.951 0.000
0.000 0.000 6.133

=====

Record 3
! NdDy6Y8 | Alexandria via LeMat-Bulk | PBE | relaxed; values from VASP
! excess energy over the best structure of this formula in the dataset = 0.000 eV/atom
! space-group type = R-3 (148)
! N(E_F) = 23.2 states/eV per cell
&SYSTEM
  ibrav = 0, nat = 15, ntyp = 3
/
ATOMIC_SPECIES
Nd 144.24 Nd.upf
Dy 162.50 Dy.upf
Y 88.91 Y.upf
ATOMIC_POSITIONS crystal
Nd 0.000 0.000 0.000
Dy 0.109 0.539 0.230
Dy 0.230 0.109 0.539
Dy 0.461 0.770 0.891
Dy 0.539 0.230 0.109
Dy 0.770 0.891 0.461
Dy 0.891 0.461 0.770
Y 0.110 0.719 0.746
Y 0.254 0.890 0.281
Y 0.281 0.254 0.890
Y 0.423 0.423 0.423
Y 0.577 0.577 0.577
Y 0.719 0.746 0.110
Y 0.746 0.110 0.719
Y 0.890 0.281 0.254
CELL_PARAMETERS angstrom
4.532 2.616 6.899
-4.532 2.616 6.899
0.000 -5.233 6.899

=====

Record 4
! AcNd2Th | Alexandria via LeMat-Bulk | PBE | relaxed; values from VASP
! excess energy over the best structure of this formula in the dataset = 0.209 eV/atom
! space-group type = R-3m (166)
! N(E_F) = 5.8 states/eV per cell
&SYSTEM
  ibrav = 0, nat = 4, ntyp = 3
/
ATOMIC_SPECIES
Ac 227.00 Ac.upf
Nd 144.24 Nd.upf
Th 232.04 Th.upf
ATOMIC_POSITIONS crystal
Ac 0.000 0.000 0.000
Nd 0.412 0.412 0.412
Nd 0.588 0.588 0.588
Th 0.500 0.500 0.500
CELL_PARAMETERS angstrom
1.811 1.046 13.012
-1.811 1.046 13.012
0.000 -2.091 13.012

=====

Record 5
! Tl3C | Alexandria via LeMat-Bulk | PBE | relaxed; values from VASP
! excess energy over the best structure of this formula in the dataset = 0.537 eV/atom
! space-group type = Cmmm (65)
! N(E_F) = 1.4 states/eV per cell
&SYSTEM
  ibrav = 0, nat = 4, ntyp = 2
/
ATOMIC_SPECIES
Tl 204.38 Tl.upf
C 12.01 C.upf
ATOMIC_POSITIONS crystal
Tl 0.000 0.000 0.000
Tl 0.500 0.500 0.321
Tl 0.500 0.500 0.679
C 0.000 0.000 0.500
CELL_PARAMETERS angstrom
1.932 -2.935 0.000
1.932 2.935 0.000
0.000 0.000 8.863

=====

Record 6
! PmBe17Ir | Alexandria via LeMat-Bulk | PBE | relaxed; values from VASP
! E = -4.12 eV/atom
! space-group type = R3m (160)
! N(E_F) = 6.2 states/eV per cell
&SYSTEM
  ibrav = 0, nat = 19, ntyp = 3
/
ATOMIC_SPECIES
Pm 145.00 Pm.upf
Be 9.01 Be.upf
Ir 192.22 Ir.upf
ATOMIC_POSITIONS crystal
Pm 0.000 0.000 0.000
Be 0.052 0.358 0.633
Be 0.052 0.633 0.358
Be 0.224 0.685 0.685
Be 0.254 0.254 0.254
Be 0.339 0.339 0.856
Be 0.339 0.856 0.339
Be 0.358 0.052 0.633
Be 0.358 0.633 0.052
Be 0.447 0.447 0.447
Be 0.509 0.995 0.995
Be 0.633 0.052 0.358
Be 0.633 0.358 0.052
Be 0.685 0.224 0.685
Be 0.685 0.685 0.224
Be 0.856 0.339 0.339
Be 0.995 0.509 0.995
Be 0.995 0.995 0.509
Ir 0.669 0.669 0.669
CELL_PARAMETERS angstrom
3.789 2.188 3.639
-3.789 2.188 3.639
0.000 -4.375 3.639

=====

Question: Number 4 is which compound?
Answer: AcNd2Th

=====

Question: Which value of N(E_F) does entry 3 give?
Answer: 23.2 states/eV per cell